Compound: Cd3SnPt12
Source: Alexandria via LeMat-Bulk
Functional: PBE
Structure: optimized geometry

Fermi-level density of states: 16.06 states/eV per cell
Total moment: 0.00 Bohr magnetons per cell
Calculated total energy: -5.19 eV per atom
Space-group type: P4/mmm (123)
Formation enthalpy at 0 K: -0.241 eV/atom

a = 4.054 Å, b = 4.054 Å, c = 16.102 Å
α = 90.00°, β = 90.00°, γ = 90.00°
Element x y z (fractional)
Pt 0.000 0.500 0.875
Pt 0.500 0.000 0.875
Sn 0.000 0.000 0.000
Pt 0.000 0.500 0.125
Cd 0.000 0.000 0.500
Pt 0.500 0.500 0.000
Cd 0.000 0.000 0.251
Cd 0.000 0.000 0.749
Pt 0.500 0.500 0.500
Pt 0.500 0.000 0.375
Pt 0.000 0.500 0.625
Pt 0.500 0.000 0.125
Pt 0.500 0.500 0.250
Pt 0.500 0.500 0.750
Pt 0.000 0.500 0.375
Pt 0.500 0.000 0.625



Compound: Cd2SnPt2
Source: Alexandria via LeMat-Bulk
Functional: PBE
Structure: optimized geometry

Fermi-level density of states: 1.96 states/eV per cell
Total moment: 0.00 Bohr magnetons per cell
Calculated total energy: -3.74 eV per atom
Space-group type: I4/mmm (139)
Formation enthalpy at 0 K: -0.155 eV/atom

a = 3.900 Å, b = 3.900 Å, c = 7.318 Å
α = 74.55°, β = 74.55°, γ = 90.00°
Element x y z (fractional)
Pt 0.597 0.597 0.805
Sn 0.000 0.000 0.000
Cd 0.250 0.750 0.500
Pt 0.403 0.403 0.195
Cd 0.750 0.250 0.500